1.
Density functional theory data (PBE-GGA) for a relaxed K2SrSnSe4 crystal.

Lattice parameters (Å, degrees): 8.5950 9.1606 12.5564 90.00 90.00 90.00
Closest atoms and distances in Å follow each position.
Space group Imma (No. 74)
One atom of each set of equivalent atoms:
K1 0.0000 0.0000 0.0000 x4  6 Se 3.20-3.22
K2 0.2500 0.2500 0.2500 x4  6 Se 3.42-3.55
Sr1 0.0000 0.0000 0.5000 x4  6 Se 3.12-3.13
Sn1 0.2500 0.2500 0.7500 x4  6 Se 2.73-2.89
Se1 0.0000 0.0398 0.7472 x8  2 Sn 2.89, 1 Sr 3.13, 1 K 3.20
Se2 0.2419 0.2500 0.5330 x8  1 Sn 2.73

Output
raw total energy	-3.811	eV/atom
formation energy from raw total energies	-1084	meV/atom



2.
Density functional theory data (PBE-GGA) for a relaxed CeYIrBr crystal.

Lattice parameters (Å, degrees): 4.0700 4.0700 23.3415 90.00 90.00 120.00
Closest atoms and distances in Å follow each position.
Space group R3m (No. 160, hexagonal axes)
One atom of each set of equivalent atoms:
Ce1 0.0000 0.0000 0.0000 x3  3 Ir 2.76
Y1 0.0000 0.0000 0.2058 x3  3 Ir 2.80
Ir1 0.0000 0.0000 0.6045 x3  3 Ce 2.76, 3 Y 2.80
Br1 0.0000 0.0000 0.4358 x3  3 Ce 3.35, 3 Y 3.37

Output
raw total energy	-6.782	eV/atom
formation energy from raw total energies	-1049	meV/atom



3.
Density functional theory data (PBE-GGA) for a relaxed CeAl3Fe3 crystal.

Lattice parameters (Å, degrees): 6.4977 6.4977 6.4977 90.00 90.00 90.00
Closest atoms and distances in Å follow each position.
Space group Pm-3n (No. 223)
One atom of each set of equivalent atoms:
Ce1 0.0000 0.0000 0.0000 x2  12 Fe 3.63, 12 Al 3.63
Al1 0.0000 0.2500 0.5000 x6  4 Fe 2.30
Fe1 0.0000 0.5000 0.2500 x6  4 Al 2.30

Output
energy of formation	0.5115	eV per atom
raw total energy	-5.567	eV/atom



4.
Density functional theory data (PBE-GGA) for a relaxed AlSiPt2 crystal.

Lattice parameters (Å, degrees): 3.7284 3.7284 8.4082 90.00 90.00 90.00
Closest atoms and distances in Å follow each position.
Space group I-4m2 (No. 119)
One atom of each set of equivalent atoms:
Al1 0.0000 0.0000 0.0000 x2  8 Pt 2.64-2.81, 4 Si 2.81
Si1 0.0000 0.5000 0.2500 x2  8 Pt 2.64-2.81, 4 Al 2.81
Pt1 0.0000 0.0000 0.5000 x2  4 Al 2.64, 4 Pt 2.81, 4 Si 2.81
Pt2 0.0000 0.5000 0.7500 x2  4 Si 2.64, 4 Pt 2.81, 4 Al 2.81

Output
raw total energy	-5.905	eV/atom
formation energy from raw total energies	-593	meV/atom



5.
Density functional theory data (PBE-GGA) for a relaxed LaTiTl2O6 crystal.

Lattice parameters (Å, degrees): 5.7755 5.7755 15.4739 90.00 90.00 120.00
Closest atoms and distances in Å follow each position.
Space group R3 (No. 146, hexagonal axes)
One atom of each set of equivalent atoms:
La1 0.0000 0.0000 0.0000 x3  6 O 2.35-2.54
Ti1 0.0000 0.0000 0.5086 x3  6 O 1.92-2.12
Tl1 0.0000 0.0000 0.2211 x3  6 O 2.23-2.44
Tl2 0.0000 0.0000 0.7334 x3  6 O 2.48-2.61
O1 0.0002 0.7247 0.5995 x9  1 Ti 2.12, 1 Tl 2.23, 1 La 2.35
O2 0.0828 0.3470 0.1151 x9  1 Ti 1.92

Output
raw total energy	-6.705	eV/atom
formation energy from raw total energies	-1975	meV/atom



6.
Density functional theory data (PBE-GGA) for a relaxed Tb2B3Ir2 crystal.

Lattice parameters (Å, degrees): 9.5737 3.7500 7.2311 90.00 125.20 90.00
Closest atoms and distances in Å follow each position.
Space group C2/m (No. 12)
One atom of each set of equivalent atoms:
Tb1 0.0690 0.0000 0.2958 x4  5 B 2.69-2.80, 1 Ir 2.96
B1 0.0000 0.5000 0.5000 x2  2 B 1.64
B2 0.1668 0.5000 0.7647 x4  1 B 1.64
Ir1 0.1995 0.5000 0.0984 x4  3 B 2.16-2.25

Output
energy of formation	-0.4959	eV per atom
raw total energy	-7.212	eV/atom



7.
Density functional theory data (PBE-GGA) for a relaxed TiSi3F crystal.

Lattice parameters (Å, degrees): 4.2320 4.2320 4.2320 90.00 90.00 90.00
Closest atoms and distances in Å follow each position.
Space group Pm-3m (No. 221)
One atom of each set of equivalent atoms:
Ti1 0.0000 0.0000 0.0000 x1  12 Si 2.99
Si1 0.0000 0.5000 0.5000 x3  2 F 2.12
F1 0.5000 0.5000 0.5000 x1  6 Si 2.12

Output
raw total energy	-5.080	eV/atom
formation energy from raw total energies	128	meV/atom
polymorph energy (0 for the lowest one)	0	meV/atom



8.
Density functional theory data (PBE-GGA) for a relaxed LiCeCdGe2 crystal.

Lattice parameters (Å, degrees): 4.2037 4.2037 11.8412 90.00 90.00 90.00
Closest atoms and distances in Å follow each position.
Space group I-4m2 (No. 119)
One atom of each set of equivalent atoms:
Li1 0.0000 0.0000 0.0000 x2  4 Ge 2.71, 4 Cd 2.97
Ce1 0.0000 0.5000 0.2500 x2  8 Ge 3.22
Cd1 0.0000 0.0000 0.5000 x2  4 Ge 2.71, 4 Li 2.97
Ge1 0.0000 0.5000 0.6446 x4  1 Ge 2.50, 2 Cd 2.71, 2 Li 2.71

Output
energy of formation	-0.4599	eV per atom
raw total energy	-4.059	eV/atom



> What is the raw total energy in the third record?

-5.567 eV/atom



Copy entry 7 word for word.
Density functional theory data (PBE-GGA) for a relaxed TiSi3F crystal.

Lattice parameters (Å, degrees): 4.2320 4.2320 4.2320 90.00 90.00 90.00
Closest atoms and distances in Å follow each position.
Space group Pm-3m (No. 221)
One atom of each set of equivalent atoms:
Ti1 0.0000 0.0000 0.0000 x1  12 Si 2.99
Si1 0.0000 0.5000 0.5000 x3  2 F 2.12
F1 0.5000 0.5000 0.5000 x1  6 Si 2.12

Output
raw total energy	-5.080	eV/atom
formation energy from raw total energies	128	meV/atom
polymorph energy (0 for the lowest one)	0	meV/atom



What did the fifth record say?
Density functional theory data (PBE-GGA) for a relaxed LaTiTl2O6 crystal.

Lattice parameters (Å, degrees): 5.7755 5.7755 15.4739 90.00 90.00 120.00
Closest atoms and distances in Å follow each position.
Space group R3 (No. 146, hexagonal axes)
One atom of each set of equivalent atoms:
La1 0.0000 0.0000 0.0000 x3  6 O 2.35-2.54
Ti1 0.0000 0.0000 0.5086 x3  6 O 1.92-2.12
Tl1 0.0000 0.0000 0.2211 x3  6 O 2.23-2.44
Tl2 0.0000 0.0000 0.7334 x3  6 O 2.48-2.61
O1 0.0002 0.7247 0.5995 x9  1 Ti 2.12, 1 Tl 2.23, 1 La 2.35
O2 0.0828 0.3470 0.1151 x9  1 Ti 1.92

Output
raw total energy	-6.705	eV/atom
formation energy from raw total energies	-1975	meV/atom



> raw total energy of number 8 (LiCeCdGe2)?

-4.059 eV/atom